Here is TlPtSe2O8 after structural relaxation from the Alexandria database. Energies are from GGA-PBE.

The calculation puts the raw formation energy at -0.533 eV per atom. The calculation puts the total magnetic moment at 2.0 μB per cell. As for the crystal system: monoclinic. The calculation puts the energy at -5.119 eV/atom.

The structure belongs to space group C2/m (No. 12); the cell edges are 9.015, 5.500 and 8.428 Å and the angles 90.00°, 91.49° and 90.00°. Symmetry generates all atoms from Tl at (0.000, 0.000, 0.000), Pt at (0.000, 0.000, 0.500), Se at (0.130, 0.500, 0.314), O at (0.012, 0.249, 0.320), O at (0.193, 0.500, 0.132) and O at (0.250, 0.000, 0.532).